[1]
DFT (GGA-PBE) results for a geometry-optimized TaMnCoRu structure.

Unit cell a=4.3123 b=4.3123 c=4.3123 alpha=60.00 beta=60.00 gamma=60.00
Closest atoms and distances in Å follow each position.
Element x y z (fractional)
Ta1 0.0000 0.0000 0.0000  4 Ru 2.64, 4 Co 2.64
Mn1 0.5000 0.5000 0.5000  4 Ru 2.64, 4 Co 2.64
Co1 0.2500 0.2500 0.2500  4 Ta 2.64, 4 Mn 2.64
Ru1 0.7500 0.7500 0.7500  4 Ta 2.64, 4 Mn 2.64

***

[2]
DFT (GGA-PBE) results for a geometry-optimized TiMnCoRu structure.

Unit cell a=4.2282 b=4.2282 c=4.2282 alpha=60.00 beta=60.00 gamma=60.00
Closest atoms and distances in Å follow each position.
Element x y z (fractional)
Ti1 0.0000 0.0000 0.0000  4 Co 2.59, 4 Ru 2.59
Mn1 0.5000 0.5000 0.5000  4 Co 2.59, 4 Ru 2.59
Co1 0.2500 0.2500 0.2500  4 Mn 2.59, 4 Ti 2.59
Ru1 0.7500 0.7500 0.7500  4 Mn 2.59, 4 Ti 2.59

***

[3]
DFT (GGA-PBE) results for a geometry-optimized UMnCoRu structure.

Unit cell a=4.4422 b=4.4422 c=4.4422 alpha=60.00 beta=60.00 gamma=60.00
Closest atoms and distances in Å follow each position.
Element x y z (fractional)
U1 0.0000 0.0000 0.0000  4 Ru 2.72, 4 Co 2.72
Mn1 0.5000 0.5000 0.5000  4 Co 2.72, 4 Ru 2.72
Co1 0.2500 0.2500 0.2500  4 Mn 2.72, 4 U 2.72
Ru1 0.7500 0.7500 0.7500  4 Mn 2.72, 4 U 2.72

***

[4]
DFT (GGA-PBE) results for a geometry-optimized Mn2V5CoRu2 structure.

Unit cell a=9.5065 b=9.5065 c=2.8904 alpha=90.00 beta=90.00 gamma=90.00
Closest atoms and distances in Å follow each position.
Element x y z (fractional)
Mn1 0.1357 0.3643 0.0000  6 V 2.28-2.33
Mn2 0.3643 0.8643 0.0000  6 V 2.28-2.33
Mn3 0.6357 0.1357 0.0000  6 V 2.28-2.33
Mn4 0.8643 0.6357 0.0000  6 V 2.28-2.33
V1 0.0000 0.5000 0.5000  4 Mn 2.33
V2 0.0500 0.1994 0.5000  2 Mn 2.28, 2 Co 2.43
V3 0.1994 0.9500 0.5000  2 Mn 2.28, 2 Co 2.43
V4 0.3006 0.4500 0.5000  2 Mn 2.28, 2 Co 2.43
V5 0.4500 0.6994 0.5000  2 Mn 2.28, 2 Co 2.43
V6 0.5000 0.0000 0.5000  4 Mn 2.33
V7 0.5500 0.3006 0.5000  2 Mn 2.28, 2 Co 2.43
V8 0.6994 0.5500 0.5000  2 Mn 2.28, 2 Co 2.43
V9 0.8006 0.0500 0.5000  2 Mn 2.28, 2 Co 2.43
V10 0.9500 0.8006 0.5000  2 Mn 2.28, 2 Co 2.43
Co1 0.0000 0.0000 0.0000  8 V 2.43
Co2 0.5000 0.5000 0.0000  8 V 2.43
Ru1 0.1696 0.6696 0.0000  3 Mn 2.62-2.92, 6 V 2.70-2.83, 2 Ru 2.89
Ru2 0.3304 0.1696 0.0000  3 Mn 2.62-2.92, 6 V 2.70-2.83, 2 Ru 2.89
Ru3 0.6696 0.8304 0.0000  3 Mn 2.62-2.92, 6 V 2.70-2.83, 2 Ru 2.89
Ru4 0.8304 0.3304 0.0000  3 Mn 2.62-2.92, 6 V 2.70-2.83, 2 Ru 2.89

***

[5]
DFT (GGA-PBE) results for a geometry-optimized MnV5Co2Ru2 structure.

Unit cell a=9.3058 b=9.3058 c=2.9979 alpha=90.00 beta=90.00 gamma=90.00
Closest atoms and distances in Å follow each position.
Element x y z (fractional)
Mn1 0.0000 0.0000 0.0000  8 V 2.42
Mn2 0.5000 0.5000 0.0000  8 V 2.42
V1 0.0000 0.5000 0.5000  4 Co 2.29
V2 0.0697 0.1912 0.5000  2 Co 2.30, 2 Mn 2.42
V3 0.1912 0.9303 0.5000  2 Co 2.30, 2 Mn 2.42
V4 0.3088 0.4303 0.5000  2 Co 2.30, 2 Mn 2.42
V5 0.4303 0.6912 0.5000  2 Co 2.30, 2 Mn 2.42
V6 0.5000 0.0000 0.5000  4 Co 2.29
V7 0.5697 0.3088 0.5000  2 Co 2.30, 2 Mn 2.42
V8 0.6912 0.5697 0.5000  2 Co 2.30, 2 Mn 2.42
V9 0.8088 0.0697 0.5000  2 Co 2.30, 2 Mn 2.42
V10 0.9303 0.8088 0.5000  2 Co 2.30, 2 Mn 2.42
Co1 0.1316 0.3684 0.0000  6 V 2.29-2.30
Co2 0.3684 0.8684 0.0000  6 V 2.29-2.30
Co3 0.6316 0.1316 0.0000  6 V 2.29-2.30
Co4 0.8684 0.6316 0.0000  6 V 2.29-2.30
Ru1 0.1662 0.6662 0.0000  6 V 2.65-2.89, 3 Co 2.66-2.79
Ru2 0.3338 0.1662 0.0000  6 V 2.65-2.89, 3 Co 2.66-2.79
Ru3 0.6662 0.8338 0.0000  6 V 2.65-2.89, 3 Co 2.66-2.79
Ru4 0.8338 0.3338 0.0000  6 V 2.65-2.89, 3 Co 2.66-2.79

***

[6]
DFT (GGA-PBE) results for a geometry-optimized MnVCoRu structure.

Unit cell a=4.1716 b=4.1716 c=4.1716 alpha=60.00 beta=60.00 gamma=60.00
Closest atoms and distances in Å follow each position.
Element x y z (fractional)
Mn1 0.0000 0.0000 0.0000  4 Ru 2.55, 4 Co 2.55
V1 0.5000 0.5000 0.5000  4 Ru 2.55, 4 Co 2.55
Co1 0.2500 0.2500 0.2500  4 Mn 2.55, 4 V 2.55
Ru1 0.7500 0.7500 0.7500  4 Mn 2.55, 4 V 2.55

***

[7]
DFT (GGA-PBE) results for a geometry-optimized ZrMnCo2Ru structure.

Computed properties:
- energy above the most stable polymorph in this dataset (meV per atom) = 1078

Unit cell a=4.4290 b=4.4290 c=4.6339 alpha=90.00 beta=90.00 gamma=90.00
Closest atoms and distances in Å follow each position.
Element x y z (fractional)
Zr1 0.0000 0.0000 0.0000  4 Co 2.21, 2 Mn 2.32
Mn1 0.0000 0.0000 0.5000  2 Zr 2.32
Co1 0.0000 0.5000 0.0000  2 Zr 2.21
Co2 0.5000 0.0000 0.0000  2 Zr 2.21
Ru1 0.5000 0.5000 0.5000  4 Mn 3.13, 8 Co 3.21

***

[8]
DFT (GGA-PBE) results for a geometry-optimized ZrMnCo2Ru structure.

Computed properties:
- energy above the most stable polymorph in this dataset (meV per atom) = 0

Unit cell a=4.1853 b=4.1853 c=4.4230 alpha=90.00 beta=90.00 gamma=90.00
Closest atoms and distances in Å follow each position.
Element x y z (fractional)
Zr1 0.0000 0.0000 0.0000  4 Ru 2.96, 8 Co 3.04
Mn1 0.5000 0.5000 0.5000  4 Co 2.09, 2 Ru 2.21
Co1 0.0000 0.5000 0.5000  2 Mn 2.09
Co2 0.5000 0.0000 0.5000  2 Mn 2.09
Ru1 0.5000 0.5000 0.0000  2 Mn 2.21

***

[9]
DFT (GGA-PBE) results for a geometry-optimized ZrMnCoRu structure.

Unit cell a=4.3908 b=4.3908 c=4.3908 alpha=60.00 beta=60.00 gamma=60.00
Closest atoms and distances in Å follow each position.
Element x y z (fractional)
Zr1 0.0000 0.0000 0.0000  4 Co 2.69, 4 Ru 2.69
Mn1 0.5000 0.5000 0.5000  4 Ru 2.69, 4 Co 2.69
Co1 0.2500 0.2500 0.2500  4 Mn 2.69, 4 Zr 2.69
Ru1 0.7500 0.7500 0.7500  4 Mn 2.69, 4 Zr 2.69

***

[10]
DFT (GGA-PBE) results for a geometry-optimized Mn3Co3S8 structure.

Unit cell a=6.8638 b=6.8638 c=6.8638 alpha=59.95 beta=59.95 gamma=59.95
Closest atoms and distances in Å follow each position.
Element x y z (fractional)
Mn1 0.0000 0.0000 0.0000  6 S 2.35
Mn2 0.3741 0.3741 0.3741  4 S 2.34
Mn3 0.6259 0.6259 0.6259  4 S 2.34
Co1 0.0000 0.0000 0.5000  6 S 2.27-2.29
Co2 0.0000 0.5000 0.0000  6 S 2.27-2.29
Co3 0.5000 0.0000 0.0000  6 S 2.27-2.29
S1 0.2079 0.7594 0.7594  2 Co 2.27, 2 Mn 2.34-2.35
S2 0.2348 0.2348 0.2348  3 Co 2.29, 1 Mn 2.34
S3 0.2406 0.2406 0.7921  2 Co 2.27, 2 Mn 2.34-2.35
S4 0.2406 0.7921 0.2406  2 Co 2.27, 2 Mn 2.34-2.35
S5 0.7594 0.2079 0.7594  2 Co 2.27, 2 Mn 2.34-2.35
S6 0.7594 0.7594 0.2079  2 Co 2.27, 2 Mn 2.34-2.35
S7 0.7652 0.7652 0.7652  3 Co 2.29, 1 Mn 2.34
S8 0.7921 0.2406 0.2406  2 Co 2.27, 2 Mn 2.34-2.35

***

[11]
DFT (GGA-PBE) results for a geometry-optimized MnCo3S structure.

Computed properties:
- energy above the most stable polymorph in this dataset (meV per atom) = 685

Unit cell a=4.1973 b=4.1973 c=4.1973 alpha=90.00 beta=90.00 gamma=90.00
Closest atoms and distances in Å follow each position.
Element x y z (fractional)
Mn1 0.0000 0.0000 0.0000  6 Co 2.10
Co1 0.0000 0.0000 0.5000  2 Mn 2.10
Co2 0.0000 0.5000 0.0000  2 Mn 2.10
Co3 0.5000 0.0000 0.0000  2 Mn 2.10
S1 0.5000 0.5000 0.5000  12 Co 2.97

***

[12]
DFT (GGA-PBE) results for a geometry-optimized Mn2CoS4 structure.

Unit cell a=6.2552 b=6.2552 c=11.7703 alpha=90.00 beta=90.00 gamma=149.14
Closest atoms and distances in Å follow each position.
Element x y z (fractional)
Mn1 0.1270 0.8730 0.5639  6 S 2.33-2.49, 1 Co 2.60
Mn2 0.1270 0.8730 0.9361  6 S 2.33-2.49, 1 Co 2.60
Mn3 0.8730 0.1270 0.0639  6 S 2.33-2.49, 1 Co 2.60
Mn4 0.8730 0.1270 0.4361  6 S 2.33-2.49, 1 Co 2.60
Co1 0.2438 0.7562 0.7500  5 S 2.20-2.30
Co2 0.7562 0.2438 0.2500  5 S 2.20-2.30
S1 0.0614 0.9386 0.7500  1 Co 2.20, 2 Mn 2.33
S2 0.2288 0.7712 0.1182  2 Co 2.30, 3 Mn 2.47-2.49
S3 0.2288 0.7712 0.3818  2 Co 2.30, 3 Mn 2.47-2.49
S4 0.5000 0.5000 0.0000  4 Mn 2.38
S5 0.5000 0.5000 0.5000  4 Mn 2.38
S6 0.7712 0.2288 0.6182  2 Co 2.30, 3 Mn 2.47-2.49
S7 0.7712 0.2288 0.8818  2 Co 2.30, 3 Mn 2.47-2.49
S8 0.9386 0.0614 0.2500  1 Co 2.20, 2 Mn 2.33

***

[13]
DFT (GGA-PBE) results for a geometry-optimized Mn5CoS8 structure.

Unit cell a=6.9095 b=6.9095 c=6.9095 alpha=60.00 beta=60.00 gamma=60.00
Closest atoms and distances in Å follow each position.
Element x y z (fractional)
Mn1 0.0000 0.0000 0.0000  4 S 2.29
Mn2 0.3796 0.3796 0.3796  6 S 2.36-2.40
Mn3 0.3796 0.3796 0.8611  6 S 2.36-2.40
Mn4 0.3796 0.8611 0.3796  6 S 2.36-2.40
Mn5 0.8611 0.3796 0.3796  6 S 2.36-2.40
Co1 0.7500 0.7500 0.7500  4 S 2.19
S1 0.1352 0.1352 0.1352  4 Mn 2.29-2.40
S2 0.1352 0.1352 0.5945  4 Mn 2.29-2.40
S3 0.1352 0.5945 0.1352  4 Mn 2.29-2.40
S4 0.1374 0.6209 0.6209  1 Co 2.19, 3 Mn 2.36
S5 0.5945 0.1352 0.1352  4 Mn 2.29-2.40
S6 0.6209 0.1374 0.6209  1 Co 2.19, 3 Mn 2.36
S7 0.6209 0.6209 0.1374  1 Co 2.19, 3 Mn 2.36
S8 0.6209 0.6209 0.6209  1 Co 2.19, 3 Mn 2.36

***

| no. | E (eV/atom) | spin magnetization (μB per formula unit) |
| --- | --- | --- |
| 1 | -9.537 | 4.854 |
| 2 | -8.627 | 4.155 |
| 3 | -9.198 | 2.351 |
| 4 | -8.872 | 0.000 |
| 5 | -8.710 | 0.000 |
| 6 | -8.775 | 4.724 |
| 7 | -6.555 | 6.716 |
| 8 | -7.633 | 0.000 |
| 9 | -8.702 | 4.466 |
| 10 | -6.312 | 11.828 |
| 11 | -5.560 | 2.650 |
| 12 | -6.372 | 5.243 |
| 13 | -6.682 | 14.705 |